Here is an optimized crystal structure of BaLaSc2 from the Alexandria database. Energies are from PBE.

Cell: 6.889 6.889 6.889 Å, 147.90 129.24 61.34°
Element x y z (fractional)
Ba: 0.750 0.250 0.500
La: 0.250 0.750 0.500
Sc: 0.011 0.011 0.000
Sc: 0.489 0.489 0.000

Summary:
crystal system = orthorhombic
energy of formation from the pure elements = 389 meV per atom
electronic total energy = -4.49 eV per atom
energy relative to the lowest polymorph listed for this composition = 201.4 meV per atom

---

Here is an optimized crystal structure of BaLa2Sc from the Alexandria database. Energies are from PBE.

Cell: 5.040 3.771 8.804 Å, 64.59 90.00 90.00°
Element x y z (fractional)
Ba: 0.500 0.766 0.735
La: 0.000 0.957 0.043
La: 0.500 0.239 0.260
Sc: 0.000 0.538 0.461

Summary:
crystal system = monoclinic
energy of formation from the pure elements = 198 meV per atom
electronic total energy = -4.33 eV per atom
energy relative to the lowest polymorph listed for this composition = 82.2 meV per atom

---

Here is an optimized crystal structure of BaLa2Sc from the Alexandria database. Energies are from PBE.

Cell: 7.298 7.298 7.298 Å, 149.13 129.50 60.38°
Element x y z (fractional)
Ba: 0.250 0.750 0.500
La: 0.970 0.970 0.000
La: 0.530 0.530 0.000
Sc: 0.750 0.250 0.500

Summary:
crystal system = orthorhombic
energy of formation from the pure elements = 225 meV per atom
electronic total energy = -4.30 eV per atom
energy relative to the lowest polymorph listed for this composition = 109.2 meV per atom

---

Here is an optimized crystal structure of BaLa2Sc from the Alexandria database. Energies are from PBE.

Cell: 6.084 6.084 4.025 Å, 90.00 90.00 90.00°
Element x y z (fractional)
Ba: 0.000 0.500 0.500
La: 0.000 0.000 0.000
La: 0.500 0.500 0.000
Sc: 0.500 0.000 0.500

Summary:
crystal system = tetragonal
energy of formation from the pure elements = 316 meV per atom
electronic total energy = -4.21 eV per atom
energy relative to the lowest polymorph listed for this composition = 200.1 meV per atom